DFT (PBE-GGA) results for AcSmAlPt after structural relaxation.

The structure belongs to space group F-43m (No. 216); the cell edges are 7.528, 7.528 and 7.528 Å and the angles 90.00°, 90.00° and 90.00°. The distinct sites, in fractional coordinates, are Ac at (0.000, 0.000, 0.000), Sm at (0.000, 0.000, 0.500), Al at (0.250, 0.250, 0.250) and Pt at (0.250, 0.250, 0.750).

The calculation puts the energy of formation from the pure elements at -12.47 kcal/mol of atoms. The value obtained for the total magnetization is 0.00 Bohr magnetons per cell. The uncorrected energy comes out at -5.193 eV/atom.